DFT (PBE) results for a relaxed UPd2Se4 crystal.

Cell lengths 5.8785, 5.8785, 5.8785 Å; angles 103.41, 103.41, 122.42 degrees
Fractional positions:
Pd 0.7500 0.2500 0.5000
Pd 0.2500 0.7500 0.5000
Se 0.1847 0.7303 0.9150
Se 0.7303 0.8153 0.5455
Se 0.8153 0.2697 0.0850
Se 0.2697 0.1847 0.4545
U 0.5000 0.5000 0.0000

Total moment ... 2.28 μB per formula unit
Theoretical density ... 8.47 Mg/m³
Formation energy without anion corrections ... -0.3118 eV per atom
Space-group type ... I4/m, No. 87